[1]
# LiCaNdGa PBE-GGA optimized geometry
# Formation energy from the elements, eV per atom: -0.284
data_LiCaNdGa
_cell_length_a 7.4567
_cell_length_b 7.4567
_cell_length_c 7.4567
_cell_angle_alpha 90.00
_cell_angle_beta 90.00
_cell_angle_gamma 90.00
_symmetry_space_group_name_H-M 'F -4 3 m'
_symmetry_Int_Tables_number 216
_symmetry_space_group_name_Hall 'F -4 2 3'
loop_
_atom_site_label
_atom_site_fract_x
_atom_site_fract_y
_atom_site_fract_z
Li1 0.0000 0.0000 0.0000
Ca1 0.2500 0.2500 0.7500
Nd1 0.2500 0.2500 0.2500
Ga1 0.0000 0.0000 0.5000


[2]
# Y4Er5Th3 PBE-GGA optimized geometry
# Formation energy from the elements, eV per atom: 0.303
data_Y4Er5Th3
_cell_length_a 15.7930
_cell_length_b 5.9703
_cell_length_c 9.3814
_cell_angle_alpha 90.00
_cell_angle_beta 116.49
_cell_angle_gamma 90.00
_symmetry_space_group_name_H-M 'C 1 2/m 1'
_symmetry_Int_Tables_number 12
_symmetry_space_group_name_Hall '-C 2y'
loop_
_atom_site_label
_atom_site_fract_x
_atom_site_fract_y
_atom_site_fract_z
Y1 0.0840 0.0000 0.4438
Y2 0.2095 0.0000 0.8792
Er1 0.0000 0.0000 0.0000
Er2 0.0729 0.5000 0.6984
Er3 0.1707 0.5000 0.3797
Th1 0.0000 0.5000 0.0000
Th2 0.2105 0.0000 0.2400


[3]
# Li3Cd2 PBE-GGA optimized geometry
# Formation energy from the elements, eV per atom: -0.130
# Energy above the most stable polymorph in this dataset, kcal/mol of atoms: 2.07
data_Li3Cd2
_cell_length_a 5.5137
_cell_length_b 5.5137
_cell_length_c 11.2634
_cell_angle_alpha 90.00
_cell_angle_beta 90.00
_cell_angle_gamma 120.00
_symmetry_space_group_name_H-M 'R -3 m'
_symmetry_Int_Tables_number 166
_symmetry_space_group_name_Hall '-R 3 2"'
loop_
_atom_site_label
_atom_site_fract_x
_atom_site_fract_y
_atom_site_fract_z
Li1 0.0000 0.5000 0.0000
Cd1 0.0000 0.0000 0.1270


[4]
# KZrBr5 PBE-GGA optimized geometry
# Uncorrected formation energy, eV/atom: -1.438
data_KZrBr5
_cell_length_a 9.2671
_cell_length_b 11.8659
_cell_length_c 5.4514
_cell_angle_alpha 90.00
_cell_angle_beta 90.00
_cell_angle_gamma 90.00
_symmetry_space_group_name_H-M 'I m m 2'
_symmetry_Int_Tables_number 44
_symmetry_space_group_name_Hall 'I 2 -2'
loop_
_atom_site_label
_atom_site_fract_x
_atom_site_fract_y
_atom_site_fract_z
K1 0.0000 0.0000 0.0000
Zr1 0.0000 0.5000 0.9993
Br1 0.0000 0.2819 0.9990
Br2 0.0000 0.5000 0.4995
Br3 0.2150 0.0000 0.5000


[5]
# InHgS3 PBE-GGA optimized geometry
# Uncorrected formation energy, eV/atom: -0.098
# Energy above the most stable polymorph in this dataset, kcal/mol of atoms: 0.00
data_InHgS3
_cell_length_a 6.5072
_cell_length_b 6.5072
_cell_length_c 20.4776
_cell_angle_alpha 90.00
_cell_angle_beta 90.00
_cell_angle_gamma 120.00
_symmetry_space_group_name_H-M 'R -3'
_symmetry_Int_Tables_number 148
_symmetry_space_group_name_Hall '-R 3'
loop_
_atom_site_label
_atom_site_fract_x
_atom_site_fract_y
_atom_site_fract_z
In1 0.0000 0.0000 0.1639
Hg1 0.0000 0.0000 0.4166
S1 0.0071 0.6240 0.4182


no.,ρ (g/cm3),total DFT energy (no corrections) (eV per atom),spin magnetization (Bohr magnetons per cell)
1,4.18,-3.211,0.000
2,7.92,-5.608,0.000
3,4.13,-1.645,0.000
4,2.94,-4.011,0.000
5,5.46,-3.183,0.000